The following is a PBE with a Hubbard U calculation of PaGa2CoO6 after structural relaxation, from Alexandria.

Computed properties:
- mass density (g/cm3) = 6.94
- total DFT energy (no corrections) (eV for the cell shown) = -141.21
- symmetry = C2/c, No. 15

Cell: 6.1594 7.2123 7.2123 Å, 64.25 65.49 65.49°
Last column: magnetic moment on the atom in μB.
Sites, in units of the cell vectors:
Pa 0.2500 0.2077 0.7923  -0.02
Pa 0.7500 0.7923 0.2077  -0.02
Ga 0.2462 0.7987 0.6217  0.00
Ga 0.2538 0.3783 0.2013  0.00
Ga 0.7538 0.2013 0.3783  0.00
Ga 0.7462 0.6217 0.7987  0.00
Co 0.2500 0.8546 0.1454  0.07
Co 0.7500 0.1454 0.8546  0.07
O 0.0954 0.0387 0.7120  0.00
O 0.4046 0.2880 0.9613  0.00
O 0.9046 0.9613 0.2880  0.00
O 0.5954 0.7120 0.0387  0.00
O 0.3444 0.9383 0.3141  0.00
O 0.1556 0.6859 0.0617  0.00
O 0.6556 0.0617 0.6859  0.00
O 0.8444 0.3141 0.9383  0.00
O 0.0906 0.5981 0.6884  0.00
O 0.4094 0.3116 0.4019  0.00
O 0.9094 0.4019 0.3116  0.00
O 0.5906 0.6884 0.5981  0.00